(1)
DyHo2As | PBE-GGA | relaxed

a b c (Å): 3.8216 3.8216 28.2248
angles (deg): 90.00 90.00 120.00
Space group R-3m (No. 166, hexagonal axes)
Asymmetric unit:
Dy: 0.0000 0.0000 0.0000 [3 per cell]
Ho: 0.0000 0.0000 0.2282 [6 per cell]
As: 0.0000 0.0000 0.5000 [3 per cell]

Summary:
Volume in Å³ per atom: 29.75
Energy in eV per cell: -62.19



(2)
Dy5HoAs6 | PBE-GGA | relaxed

a b c (Å): 7.1308 12.3462 7.1279
angles (deg): 90.00 109.48 90.00
Space group C2/m (No. 12)
Asymmetric unit:
Dy: 0.0000 0.0000 0.0000 [2 per cell]
Dy: 0.0000 0.1666 0.5000 [4 per cell]
Dy: 0.0000 0.3332 0.0000 [4 per cell]
Ho: 0.0000 0.5000 0.5000 [2 per cell]
As: 0.2505 0.0000 0.7496 [4 per cell]
As: 0.2505 0.1663 0.2504 [8 per cell]

Summary:
Volume in Å³ per atom: 24.65
Energy in eV per cell: -147.84



(3)
Dy3HoAs4 | PBE-GGA | relaxed

a b c (Å): 8.2274 11.6339 4.1154
angles (deg): 90.00 90.00 90.00
Space group Cmmm (No. 65)
Asymmetric unit:
Dy: 0.0000 0.0000 0.0000 [2 per cell]
Dy: 0.2500 0.2500 0.5000 [4 per cell]
Ho: 0.0000 0.5000 0.0000 [2 per cell]
As: 0.0000 0.2504 0.0000 [4 per cell]
As: 0.2492 0.5000 0.5000 [4 per cell]

Summary:
Polymorph energy (0 for the lowest one) in eV per atom: 0.004
Volume in Å³ per atom: 24.62



(4)
Dy4HoAs5 | PBE-GGA | relaxed

a b c (Å): 9.2029 9.2029 5.8196
angles (deg): 90.00 90.00 90.00
Space group I4/m (No. 87)
Asymmetric unit:
Dy: 0.0999 0.7000 0.0000 [8 per cell]
Ho: 0.0000 0.0000 0.5000 [2 per cell]
As: 0.0000 0.0000 0.0000 [2 per cell]
As: 0.0998 0.7006 0.5000 [8 per cell]

Summary:
Volume in Å³ per atom: 24.64
Energy in eV per cell: -123.19



(5)
DyHo2As3 | PBE-GGA | relaxed

a b c (Å): 4.1094 5.8046 12.3162
angles (deg): 90.00 90.00 90.00
Space group Immm (No. 71)
Asymmetric unit:
Dy: 0.0000 0.0000 0.0000 [2 per cell]
Ho: 0.0000 0.0000 0.3335 [4 per cell]
As: 0.0000 0.5000 0.0000 [2 per cell]
As: 0.0000 0.5000 0.3327 [4 per cell]

Summary:
Volume in Å³ per atom: 24.48
Energy in eV per cell: -73.80



(6)
DyHo4As5 | PBE-GGA | relaxed

a b c (Å): 9.1773 9.1773 5.8043
angles (deg): 90.00 90.00 90.00
Space group I4/m (No. 87)
Asymmetric unit:
Dy: 0.0000 0.0000 0.0000 [2 per cell]
Ho: 0.1002 0.3000 0.5000 [8 per cell]
As: 0.0000 0.0000 0.5000 [2 per cell]
As: 0.1002 0.3006 0.0000 [8 per cell]

Summary:
Volume in Å³ per atom: 24.44
Energy in eV per cell: -122.95